[1]
A relaxed MgTa3Hg crystal, computed with GGA-PBEsol.

As for the total moment: 0.01 μB/cell. The value obtained for the theoretical density is 10.19 g cm⁻³. For the density of states at the Fermi level, the calculation gives 9.19 states/eV/f.u. Its formation enthalpy at 0 K is 2050 meV per atom.

The structure belongs to space group Pm-3m (No. 221); the cell edges are 5.0014, 5.0014 and 5.0014 Å and the angles 90.00°, 90.00° and 90.00°. The distinct sites, in fractional coordinates, are Mg at (0.0000, 0.0000, 0.0000), Ta at (0.0000, 0.5000, 0.5000) and Hg at (0.5000, 0.5000, 0.5000).


[2]
A relaxed Mg2TaHg crystal, computed with GGA-PBEsol.

As for the total moment: 0.00 μB/cell. The value obtained for the theoretical density is 9.35 g cm⁻³. For the density of states at the Fermi level, the calculation gives 2.27 states/eV/f.u. Its formation enthalpy at 0 K is 184 meV per atom.

The structure belongs to space group C2/m (No. 12); the cell edges are 5.9016, 9.8139 and 2.8358 Å and the angles 90.00°, 111.55° and 90.00°. The distinct sites, in fractional coordinates, are Mg at (0.2500, 0.2500, 0.0000), Ta at (0.0000, 0.0000, 0.5000) and Hg at (0.0000, 0.5000, 0.5000).


[3]
A relaxed MgTa2Hg crystal, computed with GGA-PBEsol.

As for the total moment: 0.00 μB/cell. The value obtained for the theoretical density is 13.27 g cm⁻³. For the density of states at the Fermi level, the calculation gives 3.20 states/eV/f.u. Its formation enthalpy at 0 K is 280 meV per atom.

The structure belongs to space group C2/m (No. 12); the cell edges are 5.4480, 9.8100 and 2.8646 Å and the angles 90.00°, 106.37° and 90.00°. The distinct sites, in fractional coordinates, are Mg at (0.0000, 0.0000, 0.0000), Ta at (0.2500, 0.2500, 0.5000) and Hg at (0.0000, 0.5000, 0.0000).


[4]
A relaxed TbMgHg2 crystal, computed with GGA-PBEsol.

As for the total moment: 0.00 μB/cell. The value obtained for the theoretical density is 10.98 g cm⁻³. For the density of states at the Fermi level, the calculation gives 1.22 states/eV/f.u. Its formation enthalpy at 0 K is -566 meV per atom.

The structure belongs to space group Fm-3m (No. 225); the cell edges are 7.0712, 7.0712 and 7.0712 Å and the angles 90.00°, 90.00° and 90.00°. The distinct sites, in fractional coordinates, are Tb at (0.0000, 0.0000, 0.0000), Mg at (0.0000, 0.0000, 0.5000) and Hg at (0.2500, 0.2500, 0.2500).


[5]
A relaxed MgTcHg crystal, computed with GGA-PBEsol.

As for the total moment: 7.73 μB/cell. The value obtained for the theoretical density is 9.14 g cm⁻³. For the density of states at the Fermi level, the calculation gives 3.08 states/eV/f.u. Its formation enthalpy at 0 K is 972 meV per atom.

The structure belongs to space group F-43m (No. 216); the cell edges are 6.1678, 6.1678 and 6.1678 Å and the angles 90.00°, 90.00° and 90.00°. The distinct sites, in fractional coordinates, are Mg at (0.0000, 0.0000, 0.0000), Tc at (0.2500, 0.2500, 0.2500) and Hg at (0.2500, 0.2500, 0.7500).


[6]
A relaxed MgTc2Hg crystal, computed with GGA-PBEsol.

As for the total moment: 0.00 μB/cell. The value obtained for the theoretical density is 10.70 g cm⁻³. For the density of states at the Fermi level, the calculation gives 3.92 states/eV/f.u. Its formation enthalpy at 0 K is 558 meV per atom.

The structure belongs to space group P4/mmm (No. 123); the cell edges are 3.4283, 3.4283 and 5.5593 Å and the angles 90.00°, 90.00° and 90.00°. The distinct sites, in fractional coordinates, are Mg at (0.0000, 0.0000, 0.0000), Tc at (0.5000, 0.5000, 0.2098) and Hg at (0.0000, 0.0000, 0.5000).


[7]
A relaxed MgTc2Hg crystal, computed with GGA-PBEsol.

As for the total moment: 0.00 μB/cell. The value obtained for the theoretical density is 10.81 g cm⁻³. For the density of states at the Fermi level, the calculation gives 2.50 states/eV/f.u. Its formation enthalpy at 0 K is 374 meV per atom.

The structure belongs to space group C2/m (No. 12); the cell edges are 9.7020, 3.0391 and 4.4869 Å and the angles 90.00°, 102.29° and 90.00°. The distinct sites, in fractional coordinates, are Mg at (0.0000, 0.0000, 0.0000), Tc at (0.2488, 0.0000, 0.7764) and Hg at (0.0000, 0.5000, 0.5000).


[8]
A relaxed MgHgTe2 crystal, computed with GGA-PBEsol.

As for the total moment: 0.00 μB/cell. The value obtained for the theoretical density is 7.74 g cm⁻³. As for the uncorrected formation energy: -0.175 eV/atom. For the density of states at the Fermi level, the calculation gives 1.72 states/eV/f.u.

The structure belongs to space group P4/mmm (No. 123); the cell edges are 3.8974, 3.8974 and 6.7836 Å and the angles 90.00°, 90.00° and 90.00°. The distinct sites, in fractional coordinates, are Mg at (0.0000, 0.0000, 0.0000), Hg at (0.0000, 0.0000, 0.5000) and Te at (0.5000, 0.5000, 0.2232).


[9]
A relaxed MgHgTe2 crystal, computed with GGA-PBEsol.

As for the total moment: 0.00 μB/cell. The value obtained for the theoretical density is 7.68 g cm⁻³. As for the uncorrected formation energy: -0.133 eV/atom. For the density of states at the Fermi level, the calculation gives 2.10 states/eV/f.u.

The structure belongs to space group Immm (No. 71); the cell edges are 3.7845, 5.2053 and 10.5355 Å and the angles 90.00°, 90.00° and 90.00°. The distinct sites, in fractional coordinates, are Mg at (0.0000, 0.0000, 0.0000), Hg at (0.0000, 0.0000, 0.5000) and Te at (0.0000, 0.5000, 0.2864).


[10]
A relaxed Mg2HgTe crystal, computed with GGA-PBEsol.

As for the total moment: 0.00 μB/cell. The value obtained for the theoretical density is 6.32 g cm⁻³. As for the uncorrected formation energy: -0.342 eV/atom. For the density of states at the Fermi level, the calculation gives 1.98 states/eV/f.u.

The structure belongs to space group P4mm (No. 99); the cell edges are 4.0582, 4.0582 and 6.0108 Å and the angles 90.00°, 90.00° and 90.00°. The distinct sites, in fractional coordinates, are Mg at (0.0000, 0.0000, 0.0000), Mg at (0.5000, 0.5000, 0.4269), Hg at (0.5000, 0.5000, 0.9454) and Te at (0.0000, 0.0000, 0.4969).


[11]
A relaxed MgHgTe2 crystal, computed with GGA-PBEsol.

As for the total moment: 0.00 μB/cell. The value obtained for the theoretical density is 7.61 g cm⁻³. As for the uncorrected formation energy: -0.055 eV/atom. For the density of states at the Fermi level, the calculation gives 1.91 states/eV/f.u.

The structure belongs to space group P2/m (No. 10); the cell edges are 4.8904, 3.8343 and 5.7010 Å and the angles 90.00°, 101.56° and 90.00°. The distinct sites, in fractional coordinates, are Mg at (0.0000, 0.0000, 0.0000), Hg at (0.5000, 0.5000, 0.0000), Te at (0.0000, 0.5000, 0.5000) and Te at (0.5000, 0.0000, 0.5000).


[12]
A relaxed MgHgTe2 crystal, computed with GGA-PBEsol.

As for the total moment: 0.00 μB/cell. The value obtained for the theoretical density is 5.86 g cm⁻³. As for the uncorrected formation energy: -0.467 eV/atom.

The structure belongs to space group I-42d (No. 122); the cell edges are 6.4628, 6.4628 and 13.0229 Å and the angles 90.00°, 90.00° and 90.00°. The distinct sites, in fractional coordinates, are Mg at (0.0000, 0.0000, 0.0000), Hg at (0.0000, 0.0000, 0.5000) and Te at (0.2455, 0.2500, 0.1250).


[13]
A relaxed Mg2HgTe2 crystal, computed with GGA-PBEsol.

As for the total moment: 0.00 μB/cell. The value obtained for the theoretical density is 5.36 g cm⁻³. As for the uncorrected formation energy: -0.539 eV/atom. For the density of states at the Fermi level, the calculation gives 0.00 states/eV/f.u.

The structure belongs to space group I4/mmm (No. 139); the cell edges are 4.7005, 4.7005 and 14.1421 Å and the angles 90.00°, 90.00° and 90.00°. The distinct sites, in fractional coordinates, are Mg at (0.0000, 0.5000, 0.2500), Hg at (0.0000, 0.0000, 0.0000) and Te at (0.0000, 0.0000, 0.3616).


[14]
A relaxed MgHg4Te5 crystal, computed with GGA-PBEsol.

As for the total moment: 0.00 μB/cell. The value obtained for the theoretical density is 7.08 g cm⁻³. As for the uncorrected formation energy: -0.271 eV/atom. For the density of states at the Fermi level, the calculation gives 0.62 states/eV/f.u.

The structure belongs to space group I-4m2 (No. 119); the cell edges are 4.6034, 4.6034 and 32.4039 Å and the angles 90.00°, 90.00° and 90.00°. The distinct sites, in fractional coordinates, are Mg at (0.0000, 0.0000, 0.0000), Hg at (0.0000, 0.0000, 0.1997), Hg at (0.0000, 0.0000, 0.4008), Te at (0.0000, 0.5000, 0.1494), Te at (0.0000, 0.5000, 0.5486) and Te at (0.0000, 0.5000, 0.7500).


[15]
A relaxed MgHgTe2 crystal, computed with GGA-PBEsol.

As for the total moment: 0.00 μB/cell. The value obtained for the theoretical density is 7.86 g cm⁻³. As for the uncorrected formation energy: -0.079 eV/atom. For the density of states at the Fermi level, the calculation gives 3.10 states/eV/f.u.

The structure belongs to space group Fm-3m (No. 225); the cell edges are 7.4023, 7.4023 and 7.4023 Å and the angles 90.00°, 90.00° and 90.00°. The distinct sites, in fractional coordinates, are Mg at (0.0000, 0.0000, 0.0000), Hg at (0.0000, 0.0000, 0.5000) and Te at (0.2500, 0.2500, 0.2500).


[16]
A relaxed Mg2HgTe crystal, computed with GGA-PBEsol.

As for the total moment: 0.00 μB/cell. The value obtained for the theoretical density is 6.30 g cm⁻³. As for the uncorrected formation energy: -0.393 eV/atom. For the density of states at the Fermi level, the calculation gives 1.43 states/eV/f.u.

The structure belongs to space group R-3m (No. 166, hexagonal axes); the cell edges are 4.2458, 4.2458 and 19.0802 Å and the angles 90.00°, 90.00° and 120.00°. The distinct sites, in fractional coordinates, are Mg at (0.0000, 0.0000, 0.2444), Hg at (0.0000, 0.0000, 0.5000) and Te at (0.0000, 0.0000, 0.0000).


[17]
A relaxed MgTl2Hg2 crystal, computed with GGA-PBEsol.

As for the total moment: 0.00 μB/cell. The value obtained for the theoretical density is 10.67 g cm⁻³. For the density of states at the Fermi level, the calculation gives 1.81 states/eV/f.u. Its formation enthalpy at 0 K is -35 meV per atom.

The structure belongs to space group P4/mbm (No. 127); the cell edges are 7.4911, 7.4911 and 4.6285 Å and the angles 90.00°, 90.00° and 90.00°. The distinct sites, in fractional coordinates, are Mg at (0.0000, 0.0000, 0.0000), Tl at (0.1659, 0.3341, 0.5000) and Hg at (0.1427, 0.6427, 0.0000).


[18]
A relaxed MgTlHg2 crystal, computed with GGA-PBEsol.

As for the total moment: 0.00 μB/cell. The value obtained for the theoretical density is 11.05 g cm⁻³. For the density of states at the Fermi level, the calculation gives 1.30 states/eV/f.u. Its formation enthalpy at 0 K is -94 meV per atom.

The structure belongs to space group Imm2 (No. 44); the cell edges are 3.4934, 5.1447 and 10.5363 Å and the angles 90.00°, 90.00° and 90.00°. The distinct sites, in fractional coordinates, are Mg at (0.0000, 0.0000, 0.0000), Tl at (0.0000, 0.5000, 0.7549), Hg at (0.0000, 0.0000, 0.5233) and Hg at (0.0000, 0.5000, 0.2759).


[19]
A relaxed MgTlHg2 crystal, computed with GGA-PBEsol.

As for the total moment: 0.00 μB/cell. The value obtained for the theoretical density is 11.11 g cm⁻³. For the density of states at the Fermi level, the calculation gives 1.53 states/eV/f.u. Its formation enthalpy at 0 K is -88 meV per atom.

The structure belongs to space group Immm (No. 71); the cell edges are 3.3395, 5.3620 and 10.5138 Å and the angles 90.00°, 90.00° and 90.00°. The distinct sites, in fractional coordinates, are Mg at (0.0000, 0.0000, 0.0000), Tl at (0.0000, 0.0000, 0.5000) and Hg at (0.0000, 0.5000, 0.2719).


[20]
A relaxed MgTlHg2 crystal, computed with GGA-PBEsol.

As for the total moment: 0.00 μB/cell. The value obtained for the theoretical density is 11.03 g cm⁻³. For the density of states at the Fermi level, the calculation gives 1.28 states/eV/f.u. Its formation enthalpy at 0 K is -99 meV per atom.

The structure belongs to space group Pmm2 (No. 25); the cell edges are 3.7450, 5.0823 and 4.9841 Å and the angles 90.00°, 90.00° and 90.00°. The distinct sites, in fractional coordinates, are Mg at (0.0000, 0.0000, 0.0000), Tl at (0.0000, 0.5000, 0.4671), Hg at (0.5000, 0.0000, 0.5063) and Hg at (0.5000, 0.5000, 0.9688).